[1]
DFT (GGA-PBE) results for an optimized crystal structure of MoP2RhCl.

Geometry as POSCAR:
```
MoP2RhCl
1.0
-2.717 1.319 -3.547
-0.781 -4.468 -1.063
-3.771 -0.026 2.879
Mo Rh Cl P
1 1 1 2
Cartesian
0.000 0.000 0.000 Mo
-3.634 -1.587 -0.865 Rh
-1.886 -0.013 1.440 Cl
-0.391 -2.234 -0.532 P
-1.358 0.660 -1.773 P
```

Calculated values
ρ	4778	kg/m3
DOS(E_F)	6.309	states/eV/cell
SG	P4/mmm (123)
distance to the lowest polymorph of the same formula	0.000	eV per atom



[2]
DFT (GGA-PBE) results for an optimized crystal structure of MoP2RhCl.

Geometry as POSCAR:
```
MoP2RhCl
1.0
-4.339 0.351 -1.305
1.112 -1.567 -4.119
-0.824 -4.561 1.512
Cl P Mo Rh
1 2 1 1
Cartesian
-0.412 -2.280 0.756 Cl
0.556 -0.783 -2.059 P
-2.170 0.176 -0.652 P
-2.026 -2.888 -1.956 Mo
0.000 0.000 0.000 Rh
```

Calculated values
ρ	4885	kg/m3
DOS(E_F)	4.494	states/eV/cell
SG	P4/mmm (123)
distance to the lowest polymorph of the same formula	0.115	eV per atom



[3]
DFT (GGA-PBE) results for an optimized crystal structure of MoPRhCl2.

Geometry as POSCAR:
```
MoPRhCl2
1.0
-4.415 1.100 -1.332
-1.155 -4.597 0.034
-1.294 0.359 4.587
Rh Cl Mo P
1 2 1 1
Cartesian
-3.432 -1.569 1.645 Rh
-0.578 -2.299 0.017 Cl
-2.207 0.550 -0.666 Cl
0.000 0.000 0.000 Mo
-0.647 0.180 2.293 P
```

Calculated values
ρ	4649	kg/m3
DOS(E_F)	9.516	states/eV/cell
SG	P4/mmm (123)
distance to the lowest polymorph of the same formula	0.000	eV per atom



[4]
DFT (GGA-PBE) results for an optimized crystal structure of MoPRuCl2.

Geometry as POSCAR:
```
MoPRuCl2
1.0
-1.941 -4.365 -0.005
3.034 -1.346 -3.436
3.153 -1.406 3.335
Ru P Cl Mo
1 1 2 1
Cartesian
2.123 -3.558 -0.053 Ru
1.576 -0.703 1.667 P
1.517 -0.673 -1.718 Cl
-0.971 -2.182 -0.002 Cl
0.000 0.000 0.000 Mo
```

Calculated values
ρ	4532	kg/m3
DOS(E_F)	5.163	states/eV/cell
SG	P4/mmm (123)
distance to the lowest polymorph of the same formula	0.069	eV per atom